Entry 1:
VASP calculation (PBE) on a geometry-optimized Th6GeC3S2 structure.

As for the crystal system: monoclinic. The volume comes out at 22.165 Å³/atom. The calculation puts the raw formation energy at -0.952 eV/atom. As for the size of the total moment: 0.000 μB per atom.

a = 17.5744 Å, b = 3.8816 Å, c = 8.1341 Å
α = 90.00°, β = 106.52°, γ = 90.00°
Space group C2/m (No. 12)
Asymmetric unit:
Th  0.0069  0.0000  0.2263 (multiplicity 4)
Th  0.1582  0.5000  0.1041 (multiplicity 4)
Th  0.1756  0.5000  0.5618 (multiplicity 4)
Ge  0.0000  0.5000  0.5000 (multiplicity 2)
C  0.0000  0.5000  0.0000 (multiplicity 2)
C  0.1670  0.0000  0.3258 (multiplicity 4)
S  0.1685  0.0000  0.8353 (multiplicity 4)

***

Entry 2:
VASP calculation (PBE) on a geometry-optimized USiRu2C structure.

As for the crystal system: orthorhombic. The volume comes out at 15.059 Å³/atom. The calculation puts the raw formation energy at -0.376 eV/atom. As for the size of the total moment: 0.365 μB per atom.

a = 3.7824 Å, b = 11.4163 Å, c = 6.9747 Å
α = 90.00°, β = 90.00°, γ = 90.00°
Space group Cmcm (No. 63)
Asymmetric unit:
U  0.0000  0.0530  0.2500 (multiplicity 4)
Si  0.0000  0.2260  0.7500 (multiplicity 4)
Ru  0.0000  0.3364  0.0515 (multiplicity 8)
C  0.0000  0.5000  0.0000 (multiplicity 4)